Here is a geometry-optimized LaSICl2 structure from the Alexandria database. Energies are from PBE-GGA.

Properties
The space-group type is P4/mmm, No. 123. For the total DFT energy (no corrections), the calculation gives -4.0086 eV per atom. The value obtained for the volume is 175.48 Å³/f.u. The calculation puts the formation energy without anion corrections at -1.149 eV per atom.

Geometry as CIF:
```
data_LaSICl2
_chemical_formula_sum 'La1 S1 I1 Cl2'
_cell_length_a 5.410
_cell_length_b 5.410
_cell_length_c 5.994
_cell_angle_alpha 90.00
_cell_angle_beta 90.00
_cell_angle_gamma 90.00
_symmetry_space_group_name_H-M 'P 1'
_symmetry_Int_Tables_number 1
loop_
_symmetry_equiv_pos_as_xyz
'x,y,z'
loop_
_atom_site_label
_atom_site_fract_x
_atom_site_fract_y
_atom_site_fract_z
La1 0.000 0.000 0.000
S1 0.000 0.000 0.500
I1 0.500 0.500 0.500
Cl1 0.000 0.500 0.000
Cl2 0.500 0.000 0.000
```

=====

Here is a geometry-optimized La4Y5 structure from the Alexandria database. Energies are from PBE-GGA.

Properties
The space-group type is I4/mmm, No. 139. For the total DFT energy (no corrections), the calculation gives -5.7548 eV per atom. The calculation puts the energy relative to the lowest polymorph listed for this composition at 0.0 kJ/mol of formula units. The value obtained for the volume is 309.13 Å³/f.u. For the formation energy, the calculation gives 0.03 eV/atom.

Geometry as CIF:
```
data_La4Y5
_chemical_formula_sum 'La4 Y5'
_cell_length_a 8.147
_cell_length_b 8.147
_cell_length_c 8.147
_cell_angle_alpha 95.80
_cell_angle_beta 95.80
_cell_angle_gamma 142.92
_symmetry_space_group_name_H-M 'P 1'
_symmetry_Int_Tables_number 1
loop_
_symmetry_equiv_pos_as_xyz
'x,y,z'
loop_
_atom_site_label
_atom_site_fract_x
_atom_site_fract_y
_atom_site_fract_z
La1 0.167 0.167 0.334
La2 0.167 0.833 0.000
La3 0.833 0.167 0.000
La4 0.833 0.833 0.666
Y1 0.165 0.500 0.665
Y2 0.500 0.165 0.665
Y3 0.500 0.500 0.000
Y4 0.500 0.835 0.335
Y5 0.835 0.500 0.335
```

=====

Here is a geometry-optimized ScGaIN2 structure from the Alexandria database. Energies are from PBE-GGA.

Properties
The space-group type is P4/mmm, No. 123. For the total DFT energy (no corrections), the calculation gives -4.6762 eV per atom. The calculation puts the energy relative to the lowest polymorph listed for this composition at 143.4 kJ/mol of formula units. The value obtained for the volume is 87.97 Å³/f.u. The calculation puts the formation energy without anion corrections at 0.836 eV per atom.

Geometry as CIF:
```
data_ScGaIN2
_chemical_formula_sum 'Sc1 Ga1 I1 N2'
_cell_length_a 4.010
_cell_length_b 4.010
_cell_length_c 5.472
_cell_angle_alpha 90.00
_cell_angle_beta 90.00
_cell_angle_gamma 90.00
_symmetry_space_group_name_H-M 'P 1'
_symmetry_Int_Tables_number 1
loop_
_symmetry_equiv_pos_as_xyz
'x,y,z'
loop_
_atom_site_label
_atom_site_fract_x
_atom_site_fract_y
_atom_site_fract_z
Sc1 0.000 0.000 0.000
Ga1 0.500 0.500 0.500
I1 0.500 0.500 0.000
N1 0.000 0.500 0.500
N2 0.500 0.000 0.500
```

=====

Here is a geometry-optimized LaCe2Pb structure from the Alexandria database. Energies are from PBE-GGA.

Properties
The space-group type is P4/mmm, No. 123. For the total DFT energy (no corrections), the calculation gives -5.3978 eV per atom. The calculation puts the energy relative to the lowest polymorph listed for this composition at 14.6 kJ/mol of formula units. The value obtained for the volume is 119.44 Å³/f.u. For the formation energy, the calculation gives -0.27 eV/atom.

Geometry as CIF:
```
data_LaCe2Pb
_chemical_formula_sum 'La1 Ce2 Pb1'
_cell_length_a 4.878
_cell_length_b 4.878
_cell_length_c 5.020
_cell_angle_alpha 90.00
_cell_angle_beta 90.00
_cell_angle_gamma 90.00
_symmetry_space_group_name_H-M 'P 1'
_symmetry_Int_Tables_number 1
loop_
_symmetry_equiv_pos_as_xyz
'x,y,z'
loop_
_atom_site_label
_atom_site_fract_x
_atom_site_fract_y
_atom_site_fract_z
La1 0.000 0.000 0.000
Ce1 0.000 0.500 0.500
Ce2 0.500 0.000 0.500
Pb1 0.500 0.500 0.000
```

=====

Here is a geometry-optimized TbPmDy3Y structure from the Alexandria database. Energies are from PBE-GGA.

Properties
The space-group type is Cmcm, No. 63. For the total DFT energy (no corrections), the calculation gives -4.8184 eV per atom. The value obtained for the volume is 193.94 Å³/f.u. For the formation energy, the calculation gives 0.12 eV/atom.

Geometry as CIF:
```
data_TbPmDy3Y
_chemical_formula_sum 'Tb2 Pm2 Dy6 Y2'
_cell_length_a 6.487
_cell_length_b 6.487
_cell_length_c 11.557
_cell_angle_alpha 90.00
_cell_angle_beta 90.00
_cell_angle_gamma 127.11
_symmetry_space_group_name_H-M 'P 1'
_symmetry_Int_Tables_number 1
loop_
_symmetry_equiv_pos_as_xyz
'x,y,z'
loop_
_atom_site_label
_atom_site_fract_x
_atom_site_fract_y
_atom_site_fract_z
Tb1 0.000 0.000 0.000
Tb2 0.000 0.000 0.500
Pm1 0.475 0.525 0.750
Pm2 0.525 0.475 0.250
Dy1 0.142 0.858 0.250
Dy2 0.326 0.674 0.027
Dy3 0.326 0.674 0.473
Dy4 0.674 0.326 0.527
Dy5 0.674 0.326 0.973
Dy6 0.858 0.142 0.750
Y1 0.172 0.828 0.750
Y2 0.828 0.172 0.250
```

=====

Here is a geometry-optimized CaPr6Y12 structure from the Alexandria database. Energies are from PBE-GGA.

Properties
The space-group type is R-3m, No. 166. For the total DFT energy (no corrections), the calculation gives -5.2526 eV per atom. The value obtained for the volume is 706.83 Å³/f.u. For the formation energy, the calculation gives 0.44 eV/atom.

Geometry as CIF:
```
data_CaPr6Y12
_chemical_formula_sum 'Ca1 Pr6 Y12'
_cell_length_a 9.432
_cell_length_b 9.432
_cell_length_c 9.432
_cell_angle_alpha 106.58
_cell_angle_beta 106.58
_cell_angle_gamma 106.58
_symmetry_space_group_name_H-M 'P 1'
_symmetry_Int_Tables_number 1
loop_
_symmetry_equiv_pos_as_xyz
'x,y,z'
loop_
_atom_site_label
_atom_site_fract_x
_atom_site_fract_y
_atom_site_fract_z
Ca1 0.000 0.000 0.000
Pr1 0.298 0.684 0.684
Pr2 0.316 0.316 0.702
Pr3 0.316 0.702 0.316
Pr4 0.684 0.298 0.684
Pr5 0.684 0.684 0.298
Pr6 0.702 0.316 0.316
Y1 0.091 0.332 0.332
Y2 0.112 0.500 0.888
Y3 0.112 0.888 0.500
Y4 0.332 0.091 0.332
Y5 0.332 0.332 0.091
Y6 0.500 0.112 0.888
Y7 0.500 0.888 0.112
Y8 0.668 0.668 0.909
Y9 0.668 0.909 0.668
Y10 0.888 0.112 0.500
Y11 0.888 0.500 0.112
Y12 0.909 0.668 0.668
```

=====

Here is a geometry-optimized BaNdHg structure from the Alexandria database. Energies are from PBE-GGA.

Properties
The space-group type is I4mm, No. 107. For the total DFT energy (no corrections), the calculation gives -2.5966 eV per atom. The calculation puts the energy relative to the lowest polymorph listed for this composition at 0.0 kJ/mol of formula units. The value obtained for the volume is 113.93 Å³/f.u. For the formation energy, the calculation gives -0.27 eV/atom.

Geometry as CIF:
```
data_BaNdHg
_chemical_formula_sum 'Ba1 Nd1 Hg1'
_cell_length_a 7.572
_cell_length_b 7.572
_cell_length_c 7.572
_cell_angle_alpha 149.13
_cell_angle_beta 149.13
_cell_angle_gamma 44.22
_symmetry_space_group_name_H-M 'P 1'
_symmetry_Int_Tables_number 1
loop_
_symmetry_equiv_pos_as_xyz
'x,y,z'
loop_
_atom_site_label
_atom_site_fract_x
_atom_site_fract_y
_atom_site_fract_z
Ba1 0.000 0.000 0.000
Nd1 0.274 0.274 0.000
Hg1 0.670 0.670 0.000
```

=====

Here is a geometry-optimized K2MgCuP2 structure from the Alexandria database. Energies are from PBE-GGA.

Properties
The space-group type is Ibam, No. 72. For the total DFT energy (no corrections), the calculation gives -3.4896 eV per atom. The value obtained for the volume is 141.59 Å³/f.u. For the formation energy, the calculation gives -0.37 eV/atom.

Geometry as CIF:
```
data_K2MgCuP2
_chemical_formula_sum 'K4 Mg2 Cu2 P4'
_cell_length_a 8.794
_cell_length_b 8.794
_cell_length_c 8.794
_cell_angle_alpha 139.89
_cell_angle_beta 58.49
_cell_angle_gamma 139.28
_symmetry_space_group_name_H-M 'P 1'
_symmetry_Int_Tables_number 1
loop_
_symmetry_equiv_pos_as_xyz
'x,y,z'
loop_
_atom_site_label
_atom_site_fract_x
_atom_site_fract_y
_atom_site_fract_z
K1 0.174 0.245 0.419
K2 0.326 0.745 0.071
K3 0.674 0.255 0.929
K4 0.826 0.755 0.581
Mg1 0.250 0.750 0.500
Mg2 0.750 0.250 0.500
Cu1 0.250 0.250 0.000
Cu2 0.750 0.750 0.000
P1 0.087 0.770 0.857
P2 0.413 0.270 0.683
P3 0.587 0.730 0.317
P4 0.913 0.230 0.143
```

=====

Here is a geometry-optimized ZrAsI2 structure from the Alexandria database. Energies are from PBE-GGA.

Properties
The space-group type is P1, No. 1. For the total DFT energy (no corrections), the calculation gives -4.6132 eV per atom. The calculation puts the energy relative to the lowest polymorph listed for this composition at 94.5 kJ/mol of formula units. The value obtained for the volume is 147.78 Å³/f.u. The calculation puts the formation energy without anion corrections at -0.539 eV per atom.

Geometry as CIF:
```
data_ZrAsI2
_chemical_formula_sum 'Zr1 As1 I2'
_cell_length_a 3.847
_cell_length_b 5.135
_cell_length_c 8.503
_cell_angle_alpha 106.72
_cell_angle_beta 90.83
_cell_angle_gamma 111.94
_symmetry_space_group_name_H-M 'P 1'
_symmetry_Int_Tables_number 1
loop_
_symmetry_equiv_pos_as_xyz
'x,y,z'
loop_
_atom_site_label
_atom_site_fract_x
_atom_site_fract_y
_atom_site_fract_z
Zr1 0.000 0.000 0.000
As1 0.700 0.401 0.000
I1 0.351 0.720 0.725
I2 0.523 0.029 0.275
```

=====

Here is a geometry-optimized AcSmCoCu structure from the Alexandria database. Energies are from PBE-GGA.

Properties
The space-group type is F-43m, No. 216. For the total DFT energy (no corrections), the calculation gives -4.9859 eV per atom. The value obtained for the volume is 93.00 Å³/f.u. For the formation energy, the calculation gives 0.02 eV/atom.

Geometry as CIF:
```
data_AcSmCoCu
_chemical_formula_sum 'Ac1 Sm1 Co1 Cu1'
_cell_length_a 5.085
_cell_length_b 5.085
_cell_length_c 5.085
_cell_angle_alpha 60.00
_cell_angle_beta 60.00
_cell_angle_gamma 60.00
_symmetry_space_group_name_H-M 'P 1'
_symmetry_Int_Tables_number 1
loop_
_symmetry_equiv_pos_as_xyz
'x,y,z'
loop_
_atom_site_label
_atom_site_fract_x
_atom_site_fract_y
_atom_site_fract_z
Ac1 0.000 0.000 0.000
Sm1 0.500 0.500 0.500
Co1 0.250 0.250 0.250
Cu1 0.750 0.750 0.750
```

=====

Here is a geometry-optimized Re4Se7Br structure from the Alexandria database. Energies are from PBE-GGA.

Properties
The space-group type is Pc, No. 7. For the total DFT energy (no corrections), the calculation gives -6.1244 eV per atom. The value obtained for the volume is 275.14 Å³/f.u. The calculation puts the formation energy without anion corrections at 0.197 eV per atom.

Geometry as CIF:
```
data_Re4Se7Br
_chemical_formula_sum 'Re8 Se14 Br2'
_cell_length_a 4.680
_cell_length_b 8.097
_cell_length_c 15.254
_cell_angle_alpha 90.00
_cell_angle_beta 107.82
_cell_angle_gamma 90.00
_symmetry_space_group_name_H-M 'P 1'
_symmetry_Int_Tables_number 1
loop_
_symmetry_equiv_pos_as_xyz
'x,y,z'
loop_
_atom_site_label
_atom_site_fract_x
_atom_site_fract_y
_atom_site_fract_z
Re1 0.000 0.208 0.000
Re2 0.000 0.792 0.500
Re3 0.142 0.263 0.642
Re4 0.142 0.737 0.142
Re5 0.621 0.263 0.121
Re6 0.621 0.737 0.621
Re7 0.762 0.208 0.763
Re8 0.762 0.792 0.263
Se1 0.001 0.131 0.502
Se2 0.001 0.869 0.002
Se3 0.137 0.384 0.137
Se4 0.137 0.616 0.637
Se5 0.272 0.092 0.773
Se6 0.272 0.908 0.273
Se7 0.490 0.093 0.990
Se8 0.490 0.907 0.490
Se9 0.626 0.384 0.626
Se10 0.626 0.616 0.126
Se11 0.760 0.131 0.261
Se12 0.760 0.869 0.761
Se13 0.880 0.408 0.881
Se14 0.880 0.592 0.381
Br1 0.379 0.339 0.381
Br2 0.379 0.661 0.881
```

=====

Here is a geometry-optimized TaHg structure from the Alexandria database. Energies are from PBE-GGA.

Properties
The space-group type is P-1, No. 2. For the total DFT energy (no corrections), the calculation gives -5.6701 eV per atom. The value obtained for the volume is 38.85 Å³/f.u. For the formation energy, the calculation gives 0.41 eV/atom.

Geometry as CIF:
```
data_TaHg
_chemical_formula_sum 'Ta2 Hg2'
_cell_length_a 2.949
_cell_length_b 5.334
_cell_length_c 5.674
_cell_angle_alpha 65.04
_cell_angle_beta 75.23
_cell_angle_gamma 89.62
_symmetry_space_group_name_H-M 'P 1'
_symmetry_Int_Tables_number 1
loop_
_symmetry_equiv_pos_as_xyz
'x,y,z'
loop_
_atom_site_label
_atom_site_fract_x
_atom_site_fract_y
_atom_site_fract_z
Ta1 0.115 0.467 0.238
Ta2 0.885 0.533 0.762
Hg1 0.380 0.045 0.743
Hg2 0.620 0.955 0.257
```